No. 1
VASP calculation (PBE) on an optimized crystal structure of La2Sm3Y6.

POSCAR file:
```
La2Sm3Y6
1.0
-5.5879 -0.6793 -3.3470
-3.2508 -5.1613 0.0677
-6.5765 3.7174 8.5688
La Y Sm
2 6 3
Direct
0.2711 0.4578 0.5000 La
0.7289 0.5422 0.5000 La
0.9521 0.6652 0.2442 Y
0.3827 0.6652 0.7558 Y
0.0479 0.3348 0.7558 Y
0.6173 0.3348 0.2442 Y
0.2661 0.0000 0.2816 Y
0.7339 0.0000 0.7184 Y
0.3379 0.3242 0.0000 Sm
0.0000 0.0000 0.0000 Sm
0.6621 0.6758 0.0000 Sm
```

Summary:
The energy of formation is 178 kJ/mol of formula units.



No. 2
VASP calculation (PBE) on an optimized crystal structure of ErPuTe.

POSCAR file:
```
ErPuTe
1.0
-1.0088 -3.9094 -1.8719
1.1233 -1.8001 3.1542
-16.1216 1.1080 6.3740
Pu Te Er
4 4 4
Direct
0.6595 0.7500 0.9941 Pu
0.8405 0.7500 0.4941 Pu
0.3405 0.2500 0.0059 Pu
0.1595 0.2500 0.5059 Pu
0.6900 0.2500 0.6372 Te
0.8100 0.2500 0.1372 Te
0.1900 0.7500 0.8628 Te
0.3100 0.7500 0.3628 Te
0.6943 0.2500 0.8168 Er
0.8057 0.2500 0.3168 Er
0.3057 0.7500 0.1832 Er
0.1943 0.7500 0.6832 Er
```

Summary:
The energy relative to the elements, uncorrected is -0.551 eV/atom.



No. 3
VASP calculation (PBE) on an optimized crystal structure of Cd3HgI.

POSCAR file:
```
Cd3HgI
1.0
-3.1351 3.2084 3.2711
-4.3802 -0.9357 -3.2804
-1.3444 -4.4332 3.0597
Cd I Hg
3 1 1
Direct
0.5000 0.0000 0.0000 Cd
0.0000 0.0000 0.5000 Cd
0.0000 0.5000 0.0000 Cd
0.5000 0.5000 0.5000 I
0.0000 0.0000 0.0000 Hg
```

Summary:
The energy relative to the elements, uncorrected is 0.022 eV/atom.



No. 4
VASP calculation (PBE) on an optimized crystal structure of NdYTiIn.

POSCAR file:
```
NdYTiIn
1.0
-0.6456 -4.5491 -2.7131
0.8285 -4.6863 2.4134
-4.1253 -3.2004 1.1006
Nd Y In Ti
1 1 1 1
Direct
0.2500 0.2500 0.2500 Nd
0.7500 0.7500 0.7500 Y
0.5000 0.5000 0.5000 In
0.0000 0.0000 0.0000 Ti
```

Summary:
The energy of formation is -31 kJ/mol of formula units.



No. 5
VASP calculation (PBE) on an optimized crystal structure of LiTb2B2Rh5.

POSCAR file:
```
LiTb2B2Rh5
1.0
-1.3236 -1.4919 -2.4962
6.3463 -7.0354 0.8396
-5.8885 -4.6103 5.8778
Rh Tb B Li
10 4 4 2
Direct
0.5000 0.4299 0.2798 Rh
0.5000 0.5000 0.0000 Rh
0.5000 0.7202 0.4299 Rh
0.5000 0.5701 0.7202 Rh
0.5000 0.0000 0.5000 Rh
0.5000 0.9299 0.2202 Rh
0.5000 0.0701 0.7798 Rh
0.5000 0.2202 0.0701 Rh
0.5000 0.7798 0.9299 Rh
0.5000 0.2798 0.5701 Rh
0.0000 0.6756 0.1756 Tb
0.0000 0.3244 0.8244 Tb
0.0000 0.8244 0.6756 Tb
0.0000 0.1756 0.3244 Tb
0.0000 0.3749 0.1251 B
0.0000 0.6251 0.8749 B
0.0000 0.1251 0.6251 B
0.0000 0.8749 0.3749 B
0.0000 0.0000 0.0000 Li
0.0000 0.5000 0.5000 Li
```

Summary:
The energy of formation is -639 kJ/mol of formula units.



No. 6
VASP calculation (PBE) on an optimized crystal structure of K2Cd6HgPt.

POSCAR file:
```
K2Cd6HgPt
1.0
7.8561 0.0000 0.0000
0.0000 7.5687 0.0000
0.0000 0.0000 10.1921
K Cd Hg Pt
4 12 2 2
Direct
0.0000 0.2761 0.7830 K
0.5000 0.7239 0.2830 K
0.5000 0.7239 0.7170 K
0.0000 0.2761 0.2170 K
0.3083 0.0487 0.0000 Cd
0.0000 0.7957 0.2522 Cd
0.7150 0.3785 0.5000 Cd
0.5000 0.2043 0.2478 Cd
0.7850 0.6215 0.0000 Cd
0.0000 0.7957 0.7478 Cd
0.2150 0.6215 0.0000 Cd
0.5000 0.2043 0.7522 Cd
0.1917 0.9513 0.5000 Cd
0.6917 0.0487 0.0000 Cd
0.8083 0.9513 0.5000 Cd
0.2850 0.3785 0.5000 Cd
0.5000 0.3968 0.0000 Hg
0.0000 0.6032 0.5000 Hg
0.5000 0.1016 0.5000 Pt
0.0000 0.8984 0.0000 Pt
```

Summary:
The energy of formation is -121 kJ/mol of formula units.



No. 7
VASP calculation (PBE) on an optimized crystal structure of AlIn2SbAu.

POSCAR file:
```
AlIn2SbAu
1.0
5.3195 0.0000 0.0000
0.0000 5.2092 0.0000
0.0000 0.0000 5.3195
Al Sb In Au
1 1 2 1
Direct
0.0000 0.0000 0.0000 Al
0.0000 0.5000 0.0000 Sb
0.5000 0.0000 0.0000 In
0.0000 0.0000 0.5000 In
0.5000 0.5000 0.5000 Au
```

Summary:
The energy relative to the elements, uncorrected is 0.475 eV/atom.



No. 8
VASP calculation (PBE) on an optimized crystal structure of LiThMgHg.

POSCAR file:
```
LiThMgHg
1.0
-4.3272 2.7145 0.3704
-4.5053 -2.4040 0.3924
-2.5842 0.1088 4.4205
Hg Li Mg Th
1 1 1 1
Direct
0.5000 0.5000 0.5000 Hg
0.0000 0.0000 0.0000 Li
0.2500 0.2500 0.2500 Mg
0.7500 0.7500 0.7500 Th
```

Summary:
The energy of formation is -41 kJ/mol of formula units.



No. 9
VASP calculation (PBE) on an optimized crystal structure of Tb6CeTm.

POSCAR file:
```
Tb6CeTm
1.0
-1.2898 0.9076 4.7634
-4.5214 -2.0063 -0.8420
3.5011 -9.0086 2.6645
Ce Tm Tb
1 1 6
Direct
0.0000 0.0000 0.5000 Ce
0.0000 0.0000 0.0000 Tm
0.0000 0.5000 0.7496 Tb
0.0000 0.5000 0.2504 Tb
0.5000 0.0000 0.2504 Tb
0.5000 0.0000 0.7496 Tb
0.5000 0.5000 0.0000 Tb
0.5000 0.5000 0.5000 Tb
```

Summary:
The energy of formation is 36 kJ/mol of formula units.



No. 10
VASP calculation (PBE) on an optimized crystal structure of YErTl6.

POSCAR file:
```
YErTl6
1.0
4.7623 0.0000 0.0000
0.0000 4.7623 0.0000
0.0000 0.0000 9.5236
Tl Y Er
6 1 1
Direct
0.5000 0.5000 0.0000 Tl
0.5000 0.5000 0.5000 Tl
0.5000 0.0000 0.7486 Tl
0.0000 0.5000 0.7486 Tl
0.0000 0.5000 0.2514 Tl
0.5000 0.0000 0.2514 Tl
0.0000 0.0000 0.0000 Y
0.0000 0.0000 0.5000 Er
```

Summary:
The energy of formation is -174 kJ/mol of formula units.



No. 11
VASP calculation (PBE) on an optimized crystal structure of Dy3TlSe6.

POSCAR file:
```
Dy3TlSe6
1.0
-3.9150 -5.6728 0.8472
7.3691 -4.8054 1.8764
-2.5528 2.9711 8.0977
Se Dy Tl
12 6 2
Direct
0.6877 0.9705 0.0295 Se
0.1877 0.0295 0.9705 Se
0.1823 0.6986 0.6280 Se
0.6823 0.3014 0.3720 Se
0.2259 0.4515 0.9019 Se
0.7259 0.9019 0.4515 Se
0.7259 0.5485 0.0981 Se
0.1231 0.7774 0.2226 Se
0.1823 0.3720 0.3014 Se
0.2259 0.0981 0.5485 Se
0.6823 0.6280 0.6986 Se
0.6231 0.2226 0.7774 Se
0.9848 0.7174 0.9110 Dy
0.4848 0.9110 0.7174 Dy
0.9848 0.0890 0.2826 Dy
0.4848 0.2826 0.0890 Dy
0.3859 0.4082 0.5918 Dy
0.8859 0.5918 0.4082 Dy
0.5025 0.7966 0.2034 Tl
0.0025 0.2034 0.7966 Tl
```

Summary:
The energy relative to the elements, uncorrected is -1.423 eV/atom.



No. 12
VASP calculation (PBE) on an optimized crystal structure of SiTe.

POSCAR file:
```
SiTe
1.0
-3.7649 -4.4727 -0.8985
-2.0385 -3.5769 -4.2471
4.4120 -3.4564 1.3499
Si Te
2 2
Direct
0.9839 0.9839 0.9002 Si
0.7661 0.7661 0.8498 Si
0.2246 0.2246 0.1407 Te
0.5254 0.5254 0.6093 Te
```

Summary:
The energy relative to the elements, uncorrected is 0.174 eV/atom.



No. 13
VASP calculation (PBE) on an optimized crystal structure of Pa2TiBi2.

POSCAR file:
```
Pa2TiBi2
1.0
-4.1815 2.9807 0.6251
-2.7147 -4.5369 3.4749
5.2768 1.6087 6.2228
Pa Bi Ti
4 4 2
Direct
0.9905 0.2349 0.9811 Pa
0.1889 0.9198 0.3778 Pa
0.8111 0.4198 0.6222 Pa
0.0095 0.7349 0.0189 Pa
0.8163 0.9205 0.6327 Bi
0.1837 0.4205 0.3673 Bi
0.4277 0.5135 0.8554 Bi
0.5723 0.0135 0.1446 Bi
0.3794 0.0455 0.7587 Ti
0.6206 0.5455 0.2413 Ti
```

Summary:
The energy of formation is -29 kJ/mol of formula units.



No. 14
VASP calculation (PBE) on an optimized crystal structure of YHo2Tm3Sb6.

POSCAR file:
```
YHo2Tm3Sb6
1.0
-1.7406 -2.6119 -3.0205
7.7984 -0.7982 -3.8037
0.7638 -5.8442 7.7546
Tm Ho Sb Y
3 2 6 1
Direct
0.5000 0.5000 0.0000 Tm
0.1664 0.8330 0.3328 Tm
0.8336 0.1670 0.6672 Tm
0.1668 0.3332 0.3336 Ho
0.8332 0.6668 0.6664 Ho
0.0003 0.7475 0.0007 Sb
0.3323 0.9178 0.6647 Sb
0.9997 0.2525 0.9993 Sb
0.6661 0.5844 0.3323 Sb
0.6677 0.0822 0.3353 Sb
0.3339 0.4156 0.6677 Sb
0.5000 0.0000 0.0000 Y
```

Summary:
The energy relative to the elements, uncorrected is -1.099 eV/atom.